PBEsol RePt3, optimized geometry; total magnetization = 0.0 μB per formula unit; calculated volume = 59.2 Å³/cell; ΔE_f = -0.09 eV per atom; space-group type = R-3m (166)
1.0
1.377 0.795 9.015
-1.377 0.795 9.015
0.000 -1.590 9.015
Re Pt
1 3
Direct
0.000 0.000 0.000
0.253 0.253 0.253
0.500 0.500 0.500
0.747 0.747 0.747

***

PBEsol BaOsSCl2, optimized geometry; ΔE_f (raw) = -0.82 eV per atom; total magnetization = 0.0 μB per formula unit; calculated volume = 112.9 Å³/cell; space-group type = P4/mmm (123)
1.0
5.041 0.000 0.000
0.000 5.041 0.000
0.000 0.000 4.441
Ba Os S Cl
1 1 1 2
Direct
0.000 0.000 0.000
0.500 0.500 0.500
0.500 0.500 0.000
0.000 0.500 0.500
0.500 0.000 0.500

***

PBEsol LuHfRu2, optimized geometry; total magnetization = 0.0 μB per formula unit; calculated volume = 67.5 Å³/cell; ΔE_f = -0.63 eV per atom; space-group type = Fm-3m (225)
1.0
0.000 3.231 3.231
3.231 0.000 3.231
3.231 3.231 0.000
Lu Hf Ru
1 1 2
Direct
0.000 0.000 0.000
0.500 0.500 0.500
0.250 0.250 0.250
0.750 0.750 0.750

***

PBEsol RbScMn2Ag, optimized geometry; total magnetization = 6.3 μB per formula unit; calculated volume = 131.3 Å³/cell; ΔE_f = 1.54 eV per atom; space-group type = P4/mmm (123)
1.0
4.758 0.000 0.000
0.000 4.758 0.000
0.000 0.000 5.800
Rb Sc Mn Ag
1 1 2 1
Direct
0.000 0.000 0.000
0.000 0.000 0.500
0.000 0.500 0.500
0.500 0.000 0.500
0.500 0.500 0.000

***

PBEsol CsZn2AsCl, optimized geometry; ΔE_f (raw) = -0.30 eV per atom; total magnetization = 0.0 μB per formula unit; calculated volume = 223.7 Å³/cell; space-group type = P4/mmm (123)
1.0
4.729 0.000 0.000
0.000 4.729 0.000
0.000 0.000 10.001
Cs Zn As Cl
1 2 1 1
Direct
0.000 0.000 0.000
0.000 0.500 0.500
0.500 0.000 0.500
0.500 0.500 0.500
0.500 0.500 0.000

***

PBEsol CsP2Ru, optimized geometry; total magnetization = 0.0 μB per formula unit; calculated volume = 73.6 Å³/cell; ΔE_f = 1.01 eV per atom; space-group type = Fm-3m (225)
1.0
0.000 3.325 3.325
3.325 0.000 3.325
3.325 3.325 0.000
Cs P Ru
1 2 1
Direct
0.000 0.000 0.000
0.250 0.250 0.250
0.750 0.750 0.750
0.500 0.500 0.500

***

PBEsol CdHg2Pb, optimized geometry; total magnetization = 0.0 μB per formula unit; calculated volume = 97.5 Å³/cell; ΔE_f = 0.03 eV per atom; space-group type = Cm (8)
1.0
5.427 -1.717 0.000
5.427 1.717 0.000
-0.550 0.000 5.230
Cd Hg Pb
1 2 1
Direct
0.000 0.000 0.000
0.501 0.501 0.484
0.746 0.746 0.224
0.252 0.252 0.726

***

PBEsol MnMo2Ir, optimized geometry; total magnetization = 1.6 μB per formula unit; polymorph energy (0 for the lowest one) = 0 meV/atom; calculated volume = 55.8 Å³/cell; ΔE_f = -0.05 eV per atom; space-group type = P4/mmm (123)
1.0
3.793 0.000 0.000
0.000 3.793 0.000
0.000 0.000 3.876
Mn Mo Ir
1 2 1
Direct
0.000 0.000 0.000
0.000 0.500 0.500
0.500 0.000 0.500
0.500 0.500 0.000

***

PBEsol NaGa2AgAu, optimized geometry; total magnetization = 0.0 μB per formula unit; calculated volume = 121.2 Å³/cell; ΔE_f = 0.24 eV per atom; space-group type = P4/mmm (123)
1.0
4.821 0.000 0.000
0.000 4.821 0.000
0.000 0.000 5.213
Na Ga Ag Au
1 2 1 1
Direct
0.000 0.000 0.000
0.000 0.500 0.500
0.500 0.000 0.500
0.500 0.500 0.500
0.500 0.500 0.000

***

PBEsol Ag2PRu, optimized geometry; total magnetization = 0.0 μB per formula unit; polymorph energy (0 for the lowest one) = 0 meV/atom; calculated volume = 63.6 Å³/cell; ΔE_f = 0.15 eV per atom; space-group type = Immm (71)
1.0
-1.434 1.835 6.044
1.434 -1.835 6.044
1.434 1.835 -6.044
Ag P Ru
2 1 1
Direct
0.186 0.186 0.000
0.814 0.814 0.000
0.000 0.500 0.500
0.500 0.000 0.500

***

PBEsol PbBrN2, optimized geometry; ΔE_f (raw) = 1.00 eV per atom; total magnetization = 0.0 μB per formula unit; polymorph energy (0 for the lowest one) = 0 meV/atom; calculated volume = 66.9 Å³/cell; space-group type = R-3m (166)
1.0
1.738 1.003 6.400
-1.738 1.003 6.400
0.000 -2.007 6.400
Pb Br N
1 1 2
Direct
0.000 0.000 0.000
0.500 0.500 0.500
0.394 0.394 0.394
0.606 0.606 0.606

***

PBEsol LaGeBr2, optimized geometry; ΔE_f (raw) = -0.77 eV per atom; total magnetization = 0.0 μB per formula unit; polymorph energy (0 for the lowest one) = 67 meV/atom; calculated volume = 98.6 Å³/cell; space-group type = Fm-3m (225)
1.0
0.000 3.666 3.666
3.666 0.000 3.666
3.666 3.666 0.000
La Ge Br
1 1 2
Direct
0.000 0.000 0.000
0.500 0.500 0.500
0.250 0.250 0.250
0.750 0.750 0.750